Record 1
Compound: SnHOF2
Source: the Alexandria database
Functional: PBE
Structure: relaxed

Results
Crystal system: tetragonal
E above lowest polymorph (eV per atom): 0.207

```
SnHOF2
1.0
-1.927 2.058 1.722
-1.179 -2.553 1.733
3.139 0.517 2.895
H Sn O F
1 1 1 2
Cartesian
0.000 0.000 0.000
0.017 0.011 3.175
1.570 0.258 1.448
-0.589 -1.277 0.867
-0.963 1.029 0.861
```


Record 2
Compound: Si3SnCl
Source: the Alexandria database
Functional: PBE
Structure: relaxed

Results
ΔE_f (raw) (eV/f.u.): 5.10
Crystal system: cubic
E above lowest polymorph (eV per atom): 0.000

```
Si3SnCl
1.0
4.842 0.000 0.000
0.000 4.842 0.000
0.000 0.000 4.842
Si Sn Cl
3 1 1
Cartesian
0.000 2.421 0.000
0.000 0.000 2.421
2.421 0.000 0.000
2.421 2.421 2.421
0.000 0.000 0.000
```


Record 3
Compound: Co2Ni4Pt5
Source: the Alexandria database
Functional: PBE
Structure: relaxed

Results
Crystal system: triclinic
E above lowest polymorph (eV per atom): 0.000
Energy of formation from the pure elements (eV per atom): -0.01

```
Co2Ni4Pt5
1.0
2.655 0.259 0.285
-0.585 9.587 -3.227
2.149 -1.786 6.658
Co Ni Pt
2 4 5
Cartesian
0.933 6.046 -1.548
3.286 2.015 5.265
2.159 5.140 0.445
2.061 8.230 -1.422
2.060 2.920 3.272
2.158 -0.169 5.139
3.229 7.569 0.888
0.990 0.492 2.829
0.984 2.722 0.873
1.327 0.130 0.143
3.235 5.339 2.844
```


Record 4
Compound: ScTa2Tc2
Source: the Alexandria database
Functional: PBE
Structure: relaxed

Results
Crystal system: tetragonal
Energy of formation from the pure elements (eV per atom): -0.03

```
ScTa2Tc2
1.0
-3.512 -1.805 -6.482
-3.228 -5.963 3.409
-2.434 1.787 0.821
Sc Tc Ta
2 4 4
Cartesian
0.000 0.000 0.000
-3.370 -3.884 -1.536
-3.992 -5.722 0.621
-5.084 -5.399 -3.321
-2.748 -2.046 -3.693
-1.656 -2.369 0.248
-3.828 -3.237 1.661
-6.243 -5.357 -0.884
-5.346 -2.744 -3.912
-2.931 -0.624 -1.367
```


Record 5
Compound: CdNi2Mo
Source: the Alexandria database
Functional: PBE
Structure: relaxed

Results
Crystal system: tetragonal
Energy of formation from the pure elements (eV per atom): 0.21

```
CdNi2Mo
1.0
2.711 0.000 0.000
0.000 4.587 0.000
0.000 0.000 4.587
Cd Mo Ni
1 1 2
Cartesian
1.356 2.293 0.000
1.356 0.000 2.293
0.000 0.000 0.000
0.000 2.293 2.293
```


Record 6
Compound: RbBaAs
Source: the Alexandria database
Functional: PBE
Structure: relaxed

Results
Crystal system: orthorhombic
Energy of formation from the pure elements (eV per atom): -0.74

```
RbBaAs
1.0
-5.212 -2.201 0.576
2.841 -7.289 -2.143
2.178 -2.328 10.809
Rb Ba As
4 4 4
Cartesian
-3.565 -2.204 1.431
1.110 -5.441 3.291
3.373 -9.614 7.811
-1.303 -6.377 5.951
-2.083 -5.880 0.791
-0.416 -1.650 3.965
1.891 -5.938 8.451
0.224 -10.168 5.277
-0.819 -8.377 2.689
-0.149 -3.081 0.913
0.626 -3.441 6.553
-0.043 -8.738 8.330
```


Record 7
Compound: Y3ZnN
Source: the Alexandria database
Functional: PBE
Structure: relaxed

Results
ΔE_f (raw) (eV/f.u.): -4.25
Crystal system: orthorhombic

```
Y3ZnN
1.0
6.794 0.000 0.000
0.000 6.668 0.000
0.000 0.000 9.520
Y Zn N
12 4 4
Cartesian
5.231 1.527 0.387
4.961 4.861 5.147
4.961 4.861 9.133
1.564 5.140 5.147
1.564 5.140 9.133
1.834 1.807 4.373
1.834 1.807 0.387
5.231 1.527 4.373
3.468 0.544 7.140
6.724 3.878 2.380
3.327 6.124 2.380
0.070 2.790 7.140
3.242 3.424 7.140
0.155 0.090 2.380
3.552 3.244 2.380
6.639 6.578 7.140
0.000 3.334 0.000
3.397 0.000 4.760
3.397 0.000 0.000
0.000 3.334 4.760
```


Record 8
Compound: LuMnCo2
Source: the Alexandria database
Functional: PBE
Structure: relaxed

Results
Crystal system: cubic
E above lowest polymorph (eV per atom): 0.000
Energy of formation from the pure elements (eV per atom): -0.06

```
LuMnCo2
1.0
4.327 0.000 0.000
2.163 3.747 0.000
2.163 1.249 3.533
Lu Co Mn
1 2 1
Cartesian
0.000 0.000 0.000
2.163 1.249 0.883
6.490 3.747 2.650
4.327 2.498 1.766
```


Record 9
Compound: Pr4Y5Ho2
Source: the Alexandria database
Functional: PBE
Structure: relaxed

Results
Crystal system: monoclinic
E above lowest polymorph (eV per atom): 0.000
Energy of formation from the pure elements (eV per atom): 0.10

```
Pr4Y5Ho2
1.0
-2.348 5.020 -1.339
-3.283 0.030 5.871
8.635 2.061 4.722
Pr Y Ho
4 5 2
Cartesian
1.526 2.833 7.945
3.644 6.914 7.392
1.477 4.278 1.309
-0.641 0.197 1.862
1.193 5.185 5.209
1.810 1.926 4.045
3.960 5.891 3.002
-1.174 2.510 -0.669
-0.957 1.220 6.252
4.544 3.696 5.888
-1.541 3.415 3.366
```


Record 10
Compound: CuRe2B2
Source: the Alexandria database
Functional: PBE
Structure: relaxed

Results
Crystal system: tetragonal
Energy of formation from the pure elements (eV per atom): -0.04

```
CuRe2B2
1.0
5.771 0.000 0.000
0.000 5.771 0.000
0.000 0.000 3.125
Cu Re B
2 4 4
Cartesian
0.000 0.000 0.000
2.886 2.886 0.000
3.886 1.000 1.563
4.771 3.886 1.563
1.885 4.771 1.563
1.000 1.885 1.563
5.100 2.215 0.000
3.557 5.100 0.000
0.671 3.557 0.000
2.215 0.671 0.000
```


Record 11
Compound: Dy3Zn3Si2
Source: the Alexandria database
Functional: PBE
Structure: relaxed

Results
ΔE_f (raw) (eV/f.u.): -4.29
Crystal system: orthorhombic

```
Dy3Zn3Si2
1.0
4.072 0.000 0.000
-2.036 5.412 0.000
0.000 0.000 15.211
Dy Zn Si
6 6 4
Cartesian
2.036 3.907 6.204
0.000 1.506 13.809
2.036 3.907 1.401
0.000 1.506 9.006
2.036 0.856 3.803
0.000 4.556 11.408
2.036 0.833 6.759
0.000 4.579 14.364
2.036 0.833 0.846
0.000 4.579 8.452
0.000 3.285 3.803
2.036 2.127 11.408
2.036 3.691 13.432
0.000 1.721 5.827
2.036 3.691 9.384
0.000 1.721 1.779
```


Record 12
Compound: Rb4Hg2Cl
Source: the Alexandria database
Functional: PBE
Structure: relaxed

Results
ΔE_f (raw) (eV/f.u.): -4.20
Crystal system: tetragonal

```
Rb4Hg2Cl
1.0
-0.393 4.571 4.857
-6.663 -0.050 -0.492
3.143 -8.519 3.676
Hg Rb Cl
2 4 1
Cartesian
-3.600 1.105 3.264
-0.314 -5.103 4.777
-3.766 -1.598 5.794
-0.148 -2.400 2.247
-3.332 -0.025 -0.246
-0.197 2.286 2.429
0.000 0.000 0.000
```


Record 13
Compound: K2MnOsS
Source: the Alexandria database
Functional: PBE
Structure: relaxed

Results
ΔE_f (raw) (eV/f.u.): 3.36
Crystal system: tetragonal

```
K2MnOsS
1.0
6.081 0.000 0.000
0.000 6.081 0.000
0.000 0.000 4.306
K Mn Os S
2 1 1 1
Cartesian
0.000 3.040 0.000
3.040 0.000 0.000
3.040 3.040 2.153
0.000 0.000 2.153
0.000 0.000 0.000
```


Record 14
Compound: WAuS3
Source: the Alexandria database
Functional: PBE
Structure: relaxed

Results
ΔE_f (raw) (eV/f.u.): 7.39
Crystal system: cubic
E above lowest polymorph (eV per atom): 1.126

```
WAuS3
1.0
4.744 0.000 0.000
0.000 4.744 0.000
0.000 0.000 4.744
S Au W
3 1 1
Cartesian
0.000 2.372 0.000
0.000 0.000 2.372
2.372 0.000 0.000
0.000 0.000 0.000
2.372 2.372 2.372
```


Record 15
Compound: Hg4Pb5
Source: the Alexandria database
Functional: PBE
Structure: relaxed

Results
Crystal system: tetragonal
E above lowest polymorph (eV per atom): 0.015
Energy of formation from the pure elements (eV per atom): 0.04

```
Hg4Pb5
1.0
8.807 -0.174 0.000
-8.033 3.615 0.000
-0.387 -1.721 8.630
Hg Pb
4 5
Cartesian
5.557 -1.250 5.696
2.863 -0.644 2.934
-2.863 0.644 2.934
-5.557 1.250 5.696
0.000 0.000 0.000
3.197 1.088 0.000
-2.423 2.353 0.000
0.000 0.000 5.750
0.387 1.721 2.880
```


Record 16
Compound: Ac2InC
Source: the Alexandria database
Functional: PBE
Structure: relaxed

Results
Crystal system: trigonal
Energy of formation from the pure elements (eV per atom): 0.13

```
Ac2InC
1.0
3.834 0.000 0.000
1.917 3.320 0.000
1.917 1.107 10.212
Ac C In
2 1 1
Cartesian
1.917 1.107 6.642
5.751 3.320 3.570
3.834 2.214 5.106
0.000 0.000 0.000
```


Record 17
Compound: Rb3Li2ErF9
Source: the Alexandria database
Functional: PBE
Structure: relaxed

Results
ΔE_f (raw) (eV/f.u.): -44.79
Crystal system: trigonal

```
Rb3Li2ErF9
1.0
5.994 0.000 0.000
-2.997 5.191 0.000
0.000 0.000 7.590
Rb Li Er F
3 2 1 9
Cartesian
0.000 3.461 5.245
0.000 0.000 0.000
2.997 1.730 2.346
0.000 3.461 1.451
2.997 1.730 6.139
0.000 0.000 3.795
4.481 0.874 5.063
2.997 3.444 5.063
1.513 0.874 5.063
1.484 4.317 2.527
0.000 1.748 2.527
-1.484 4.317 2.527
2.997 0.000 0.000
-1.499 2.596 0.000
1.499 2.596 0.000
```


Record 18
Compound: BeCuAg2
Source: the Alexandria database
Functional: PBE
Structure: relaxed

Results
Crystal system: cubic
Energy of formation from the pure elements (eV per atom): 0.27

```
BeCuAg2
1.0
4.344 0.000 0.000
2.172 3.762 0.000
2.172 1.254 3.547
Be Cu Ag
1 1 2
Cartesian
4.344 2.508 1.773
6.515 3.762 2.660
0.000 0.000 0.000
2.172 1.254 0.887
```


Record 19
Compound: BaLa2Pb
Source: the Alexandria database
Functional: PBE
Structure: relaxed

Results
Crystal system: orthorhombic
Energy of formation from the pure elements (eV per atom): -0.20

```
BaLa2Pb
1.0
6.588 -0.171 -0.209
2.818 5.958 0.209
-4.587 -3.083 3.597
Pb Ba La
1 1 2
Cartesian
4.708 2.896 0.000
1.472 2.887 1.903
9.405 5.786 0.000
3.345 -0.185 1.694
```


Record 20
Compound: VCuI2
Source: the Alexandria database
Functional: PBE
Structure: relaxed

Results
ΔE_f (raw) (eV/f.u.): 2.22
Crystal system: cubic
E above lowest polymorph (eV per atom): 0.316

```
VCuI2
1.0
2.987 -1.360 3.873
-1.915 -0.324 4.691
-0.594 -4.541 2.191
I Cu V
2 1 1
Cartesian
0.120 -1.556 2.689
0.359 -4.669 8.066
0.239 -3.113 5.377
0.000 0.000 0.000
```


Record 21
Compound: In7Pt3
Source: the Alexandria database
Functional: PBE
Structure: relaxed

Results
Crystal system: cubic
Energy of formation from the pure elements (eV per atom): -0.42

```
In7Pt3
1.0
-4.041 -4.506 -5.694
6.923 -3.987 2.285
-4.880 1.101 6.634
In Pt
14 6
Cartesian
-3.950 -2.424 2.700
1.952 -4.968 0.526
-3.740 -3.826 -0.382
1.742 -3.567 3.608
-0.789 -5.098 -1.469
-1.209 -2.294 4.695
-1.587 0.358 2.157
-1.314 -1.465 -1.851
-1.349 -4.989 2.177
2.251 -1.297 0.743
-2.727 -3.041 -3.842
-3.294 0.743 4.477
-0.650 -2.404 1.049
4.672 -2.691 1.542
0.705 -0.996 3.078
1.338 -1.890 5.842
1.888 -5.563 -2.232
0.994 -2.931 -1.176
-3.078 -1.175 0.325
-5.843 -2.230 0.616
```


Record 22
Compound: SrYMo2Br
Source: the Alexandria database
Functional: PBE
Structure: relaxed

Results
ΔE_f (raw) (eV/f.u.): 5.90
Crystal system: tetragonal

```
SrYMo2Br
1.0
-3.664 3.574 0.393
-4.035 -4.095 -0.381
0.043 -0.518 5.107
Y Sr Mo Br
1 1 2 1
Cartesian
0.000 0.000 0.000
-3.828 -0.519 2.559
0.021 -0.259 2.554
-1.832 1.787 0.196
-2.017 -2.047 -0.191
```


Record 23
Compound: CeZn2Ga3
Source: the Alexandria database
Functional: PBE
Structure: relaxed

Results
Crystal system: monoclinic
Energy of formation from the pure elements (eV per atom): -0.32

```
CeZn2Ga3
1.0
-2.686 -2.652 2.242
3.914 -7.588 0.013
4.364 -3.022 5.953
Ce Zn Ga
2 4 6
Cartesian
-1.068 -3.613 3.044
6.659 -9.649 5.164
3.119 -5.184 6.203
2.473 -8.078 2.005
3.434 -9.348 5.954
2.157 -3.914 2.254
4.876 -7.036 6.119
1.588 -7.237 6.240
1.260 -4.700 4.548
4.331 -8.562 3.660
4.003 -6.026 1.968
0.715 -6.227 2.089
```


Record 24
Compound: BeVB3
Source: the Alexandria database
Functional: PBE
Structure: relaxed

Results
Crystal system: cubic
E above lowest polymorph (eV per atom): 1.586
Energy of formation from the pure elements (eV per atom): 1.14

```
BeVB3
1.0
-1.386 2.673 -1.735
0.928 -1.472 -3.008
-3.049 -1.663 -0.126
Be B V
1 3 1
Cartesian
0.000 0.000 0.000
0.464 -0.736 -1.504
-1.524 -0.832 -0.063
-0.693 1.336 -0.867
-1.754 -0.231 -2.435
```